1.
PBE LaPmEuSc, optimized geometry; crystal system = cubic; D(E_F) = 6.385 states/eV/f.u.; energy relative to the elements = 0.1388 eV/atom
1.0
8.124 0.000 0.000
0.000 8.124 0.000
0.000 0.000 8.124
La Pm Eu Sc
4 4 4 4
Direct
0.000 0.000 0.000 La
0.000 0.500 0.500 La
0.500 0.000 0.500 La
0.500 0.500 0.000 La
0.000 0.000 0.500 Pm
0.000 0.500 0.000 Pm
0.500 0.000 0.000 Pm
0.500 0.500 0.500 Pm
0.250 0.250 0.750 Eu
0.250 0.750 0.250 Eu
0.750 0.250 0.250 Eu
0.750 0.750 0.750 Eu
0.250 0.250 0.250 Sc
0.250 0.750 0.750 Sc
0.750 0.250 0.750 Sc
0.750 0.750 0.250 Sc



2.
PBE LaPmSmEu, optimized geometry; crystal system = cubic; D(E_F) = 5.916 states/eV/f.u.; energy relative to the elements = 0.1362 eV/atom
1.0
8.353 0.000 0.000
0.000 8.353 0.000
0.000 0.000 8.353
La Pm Sm Eu
4 4 4 4
Direct
0.000 0.000 0.000 La
0.000 0.500 0.500 La
0.500 0.000 0.500 La
0.500 0.500 0.000 La
0.250 0.250 0.750 Pm
0.250 0.750 0.250 Pm
0.750 0.250 0.250 Pm
0.750 0.750 0.750 Pm
0.000 0.000 0.500 Sm
0.000 0.500 0.000 Sm
0.500 0.000 0.000 Sm
0.500 0.500 0.500 Sm
0.250 0.250 0.250 Eu
0.250 0.750 0.750 Eu
0.750 0.250 0.750 Eu
0.750 0.750 0.250 Eu



3.
PBE LaPmEuTh, optimized geometry; crystal system = cubic; D(E_F) = 9.562 states/eV/f.u.; energy relative to the elements = 0.2269 eV/atom
1.0
8.294 0.000 0.000
0.000 8.294 0.000
0.000 0.000 8.294
La Pm Eu Th
4 4 4 4
Direct
0.000 0.000 0.000 La
0.000 0.500 0.500 La
0.500 0.000 0.500 La
0.500 0.500 0.000 La
0.000 0.000 0.500 Pm
0.000 0.500 0.000 Pm
0.500 0.000 0.000 Pm
0.500 0.500 0.500 Pm
0.250 0.250 0.250 Eu
0.250 0.750 0.750 Eu
0.750 0.250 0.750 Eu
0.750 0.750 0.250 Eu
0.250 0.250 0.750 Th
0.250 0.750 0.250 Th
0.750 0.250 0.250 Th
0.750 0.750 0.750 Th



4.
PBE LaPmEuTl, optimized geometry; crystal system = cubic; D(E_F) = 6.535 states/eV/f.u.; energy relative to the elements = -0.0465 eV/atom
1.0
8.071 0.000 0.000
0.000 8.071 0.000
0.000 0.000 8.071
La Pm Eu Tl
4 4 4 4
Direct
0.000 0.000 0.000 La
0.000 0.500 0.500 La
0.500 0.000 0.500 La
0.500 0.500 0.000 La
0.250 0.250 0.250 Pm
0.250 0.750 0.750 Pm
0.750 0.250 0.750 Pm
0.750 0.750 0.250 Pm
0.000 0.000 0.500 Eu
0.000 0.500 0.000 Eu
0.500 0.000 0.000 Eu
0.500 0.500 0.500 Eu
0.250 0.250 0.750 Tl
0.250 0.750 0.250 Tl
0.750 0.250 0.250 Tl
0.750 0.750 0.750 Tl



5.
PBE LaPmEuY, optimized geometry; crystal system = cubic; D(E_F) = 6.600 states/eV/f.u.; energy relative to the elements = 0.1433 eV/atom
1.0
8.329 0.000 0.000
0.000 8.329 0.000
0.000 0.000 8.329
La Pm Eu Y
4 4 4 4
Direct
0.000 0.000 0.000 La
0.000 0.500 0.500 La
0.500 0.000 0.500 La
0.500 0.500 0.000 La
0.250 0.250 0.750 Pm
0.250 0.750 0.250 Pm
0.750 0.250 0.250 Pm
0.750 0.750 0.750 Pm
0.250 0.250 0.250 Eu
0.250 0.750 0.750 Eu
0.750 0.250 0.750 Eu
0.750 0.750 0.250 Eu
0.000 0.000 0.500 Y
0.000 0.500 0.000 Y
0.500 0.000 0.000 Y
0.500 0.500 0.500 Y



6.
PBE LaPrEuSc, optimized geometry; crystal system = cubic; D(E_F) = 6.270 states/eV/f.u.; energy relative to the elements = 0.1311 eV/atom
1.0
8.161 0.000 0.000
0.000 8.161 0.000
0.000 0.000 8.161
La Pr Eu Sc
4 4 4 4
Direct
0.000 0.000 0.000 La
0.000 0.500 0.500 La
0.500 0.000 0.500 La
0.500 0.500 0.000 La
0.000 0.000 0.500 Pr
0.000 0.500 0.000 Pr
0.500 0.000 0.000 Pr
0.500 0.500 0.500 Pr
0.250 0.250 0.750 Eu
0.250 0.750 0.250 Eu
0.750 0.250 0.250 Eu
0.750 0.750 0.750 Eu
0.250 0.250 0.250 Sc
0.250 0.750 0.750 Sc
0.750 0.250 0.750 Sc
0.750 0.750 0.250 Sc



Computed values of energy (unit: eV/atom) for the preceding records, in sequence: -6.4322; -6.0317; -6.6162; -5.6262; -6.4608; -6.4471.
Computed values of calculated density (unit: g cm⁻³) for the preceding records, in sequence: 5.96; 6.68; 7.78; 8.09; 6.03; 5.83.